[1]
The following is a GGA-PBEsol calculation of a relaxed KZr2Br crystal, from the Alexandria database.

```
KZr2Br
1.0
-1.780 -2.060 1.813
-0.757 -1.708 -2.684
7.887 -5.622 1.353
K Br Zr
1 1 2
direct
0.500 0.500 0.714
0.000 0.000 0.473
0.500 0.500 0.259
0.000 0.000 0.053
```

Output
ΔE to the lowest computed polymorph	0.000	eV/atom
crystal system	tetragonal
symmetry	No. 99
total DFT energy (no corrections)	-5.546	eV per atom

---

[2]
The following is a GGA-PBEsol calculation of a relaxed K3ZrBr crystal, from the Alexandria database.

```
K3ZrBr
1.0
-0.249 3.337 5.171
-5.534 2.143 -1.650
-2.693 -4.713 2.912
K Br Zr
3 1 1
direct
0.000 0.000 0.500
0.000 0.500 0.000
0.500 0.000 0.000
0.000 0.000 0.000
0.500 0.500 0.500
```

Output
crystal system	cubic
symmetry	No. 221
total DFT energy (no corrections)	-2.596	eV per atom

---

[3]
The following is a GGA-PBEsol calculation of a relaxed KZrBr2 crystal, from the Alexandria database.

```
KZrBr2
1.0
3.501 0.000 -0.071
0.000 5.303 0.000
-1.632 0.000 5.439
Br K Zr
2 1 1
direct
0.843 0.500 0.310
0.129 0.000 0.884
0.404 0.000 0.431
0.125 0.500 0.876
```

Output
ΔE to the lowest computed polymorph	0.000	eV/atom
crystal system	monoclinic
symmetry	No. 6
total DFT energy (no corrections)	-4.251	eV per atom

---

[4]
The following is a GGA-PBEsol calculation of a relaxed KZr2Br crystal, from the Alexandria database.

```
KZr2Br
1.0
-0.276 -0.419 3.223
1.664 -4.690 -0.503
5.409 4.635 -0.567
K Zr Br
1 2 1
direct
0.500 0.500 0.000
0.000 0.000 0.500
0.500 0.500 0.500
0.000 0.000 0.000
```

Output
ΔE to the lowest computed polymorph	0.487	eV/atom
crystal system	monoclinic
symmetry	No. 12
total DFT energy (no corrections)	-5.059	eV per atom

---

[5]
The following is a GGA-PBEsol calculation of a relaxed KZrBr2 crystal, from the Alexandria database.

```
KZrBr2
1.0
-2.365 4.213 -1.863
-4.789 -0.362 -1.936
-3.992 2.074 2.563
Zr K Br
1 1 2
direct
0.000 0.000 0.000
0.500 0.500 0.500
0.750 0.750 0.750
0.250 0.250 0.250
```

Output
ΔE to the lowest computed polymorph	0.319	eV/atom
crystal system	cubic
symmetry	No. 225
total DFT energy (no corrections)	-3.932	eV per atom

---

[6]
The following is a GGA-PBEsol calculation of a relaxed LaBr crystal, from the Alexandria database.

```
LaBr
1.0
-0.015 3.447 2.421
-3.962 0.811 -1.178
-2.080 -3.318 4.710
Br La
2 2
direct
0.000 0.500 0.209
0.500 0.000 0.791
0.500 0.000 0.295
0.000 0.500 0.705
```

Output
crystal system	tetragonal
symmetry	No. 129
total DFT energy (no corrections)	-4.938	eV per atom

---

[7]
The following is a GGA-PBEsol calculation of a relaxed LaBr crystal, from the Alexandria database.

```
LaBr
1.0
3.721 0.000 0.000
1.860 3.222 0.000
1.860 1.074 4.493
Br La
1 1
direct
0.000 0.000 0.000
0.500 0.500 0.500
```

Output
crystal system	trigonal
symmetry	No. 166
total DFT energy (no corrections)	-4.961	eV per atom

---

[8]
The following is a GGA-PBEsol calculation of a relaxed LaBr3 crystal, from the Alexandria database.

```
LaBr3
1.0
-2.898 1.578 -2.364
-5.547 -1.035 2.623
-2.622 4.814 2.944
Br La
3 1
direct
0.500 0.037 0.963
0.313 0.726 0.648
0.687 0.352 0.274
0.000 0.719 0.281
```

Output
crystal system	orthorhombic
symmetry	No. 44
total DFT energy (no corrections)	-4.645	eV per atom

---

[9]
The following is a GGA-PBEsol calculation of a relaxed La3Br crystal, from the Alexandria database.

```
La3Br
1.0
3.727 0.000 0.000
1.863 3.227 0.000
1.863 1.076 10.471
La Br
3 1
direct
0.742 0.742 0.774
0.258 0.258 0.226
0.500 0.500 0.500
0.000 0.000 0.000
```

Output
ΔE to the lowest computed polymorph	0.000	eV/atom
crystal system	trigonal
symmetry	No. 166
total DFT energy (no corrections)	-5.105	eV per atom

---

[10]
The following is a GGA-PBEsol calculation of a relaxed La2Br crystal, from the Alexandria database.

```
La2Br
1.0
3.916 0.000 0.000
0.000 5.944 0.000
-1.958 0.000 8.125
La Br
4 2
direct
0.458 0.750 0.916
0.834 0.250 0.668
0.166 0.750 0.332
0.542 0.250 0.084
0.814 0.750 0.627
0.186 0.250 0.373
```

Output
ΔE to the lowest computed polymorph	0.052	eV/atom
crystal system	orthorhombic
symmetry	No. 63
total DFT energy (no corrections)	-5.018	eV per atom

---

[11]
The following is a GGA-PBEsol calculation of a relaxed La2Br crystal, from the Alexandria database.

```
La2Br
1.0
-1.931 3.264 -4.790
-1.814 -5.832 0.160
-2.355 2.671 4.964
La Br
4 2
direct
0.346 0.846 0.192
0.654 0.154 0.808
0.846 0.654 0.500
0.154 0.346 0.500
0.750 0.750 0.000
0.250 0.250 0.000
```

Output
ΔE to the lowest computed polymorph	0.000	eV/atom
crystal system	tetragonal
symmetry	No. 140
total DFT energy (no corrections)	-5.070	eV per atom

---

[12]
The following is a GGA-PBEsol calculation of a relaxed LaBr3 crystal, from the Alexandria database.

```
LaBr3
1.0
-1.851 4.006 0.527
-5.210 -1.654 -5.729
-1.697 -1.774 7.528
Br La
6 2
direct
0.750 0.700 0.614
0.250 0.300 0.386
0.250 0.614 0.914
0.250 0.086 0.700
0.750 0.386 0.086
0.750 0.914 0.300
0.250 0.667 0.333
0.750 0.333 0.667
```

Output
crystal system	hexagonal
symmetry	No. 176
total DFT energy (no corrections)	-4.759	eV per atom

---

[13]
The following is a GGA-PBEsol calculation of a relaxed LaBr crystal, from the Alexandria database.

```
LaBr
1.0
3.654 0.000 0.000
0.000 4.884 0.165
-1.827 -0.217 5.804
Br La
2 2
direct
0.599 0.751 0.198
0.401 0.249 0.802
0.138 0.251 0.277
0.862 0.749 0.723
```

Output
crystal system	monoclinic
symmetry	No. 12
total DFT energy (no corrections)	-4.907	eV per atom

---

[14]
The following is a GGA-PBEsol calculation of a relaxed LaBr3 crystal, from the Alexandria database.

```
LaBr3
1.0
4.375 0.000 0.000
0.000 5.810 -0.144
0.000 -2.731 6.705
Br La
3 1
direct
0.000 0.854 0.208
0.000 0.146 0.792
0.500 0.500 0.500
0.500 0.000 0.500
```

Output
crystal system	monoclinic
symmetry	No. 10
total DFT energy (no corrections)	-4.626	eV per atom

---

[15]
The following is a GGA-PBEsol calculation of a relaxed LaBr crystal, from the Alexandria database.

```
LaBr
1.0
-2.899 -1.575 1.514
2.964 -3.499 2.036
0.688 6.120 3.334
Br La
2 2
direct
0.894 0.644 0.788
0.106 0.356 0.212
0.617 0.867 0.235
0.383 0.133 0.765
```

Output
crystal system	orthorhombic
symmetry	No. 74
total DFT energy (no corrections)	-4.712	eV per atom

---

[16]
The following is a GGA-PBEsol calculation of a relaxed LaBr crystal, from the Alexandria database.

```
LaBr
1.0
3.701 0.000 0.000
-1.851 3.205 0.000
0.000 0.000 4.633
Br La
1 1
direct
0.000 0.000 0.000
0.333 0.667 0.500
```

Output
crystal system	hexagonal
symmetry	No. 187
total DFT energy (no corrections)	-4.938	eV per atom

---

[17]
The following is a GGA-PBEsol calculation of a relaxed LaBr crystal, from the Alexandria database.

```
LaBr
1.0
-1.706 -3.161 -0.951
3.706 1.991 -6.006
4.382 -3.777 4.694
Br La
3 3
direct
0.598 0.196 0.734
0.349 0.698 0.705
0.687 0.374 0.260
0.006 0.013 0.002
0.923 0.845 0.444
0.270 0.540 0.021
```

Output
crystal system	monoclinic
symmetry	No. 8
total DFT energy (no corrections)	-4.820	eV per atom

---

[18]
The following is a GGA-PBEsol calculation of a relaxed La3Br crystal, from the Alexandria database.

```
La3Br
1.0
-1.189 3.165 -1.533
-5.052 -2.227 -0.077
-1.055 2.208 5.377
La Br
3 1
direct
0.500 0.500 0.000
0.830 0.262 0.500
0.170 0.738 0.500
0.000 0.000 0.000
```

Output
ΔE to the lowest computed polymorph	0.228	eV/atom
crystal system	monoclinic
symmetry	No. 10
total DFT energy (no corrections)	-4.876	eV per atom

---

[19]
The following is a GGA-PBEsol calculation of a relaxed La3Br crystal, from the Alexandria database.

```
La3Br
1.0
3.753 0.000 0.000
1.876 5.871 -0.035
1.876 2.235 5.429
La Br
3 1
direct
0.500 0.560 0.440
0.295 0.379 0.031
0.705 0.969 0.621
0.000 0.925 0.075
```

Output
ΔE to the lowest computed polymorph	0.083	eV/atom
crystal system	orthorhombic
symmetry	No. 44
total DFT energy (no corrections)	-5.022	eV per atom

---

[20]
The following is a GGA-PBEsol calculation of a relaxed LaBr3 crystal, from the Alexandria database.

```
LaBr3
1.0
6.493 0.000 0.000
0.000 7.752 0.000
0.000 0.000 9.342
La Br
4 12
direct
0.454 0.125 0.250
0.046 0.625 0.250
0.954 0.375 0.750
0.546 0.875 0.750
0.651 0.173 0.938
0.349 0.827 0.062
0.849 0.673 0.562
0.133 0.031 0.750
0.867 0.969 0.250
0.349 0.827 0.438
0.633 0.469 0.250
0.849 0.673 0.938
0.151 0.327 0.062
0.367 0.531 0.750
0.651 0.173 0.562
0.151 0.327 0.438
```

Output
crystal system	orthorhombic
symmetry	No. 62
total DFT energy (no corrections)	-4.695	eV per atom

---

In the order shown, the computed DOS at the Fermi energy values come out to 0.199 2.277 0.553 1.199 0.801 0.742 0.620 0.000 0.599 1.028 0.747 0.000 0.568 0.000 1.173 0.467 0.741 1.261 1.077 0.000 states/eV/atom.
In the order shown, the computed energy relative to the elements, uncorrected values come out to -96.6 133.1 -293.4 91.4 -170.4 -256.7 -261.1 -735.4 -242.2 -240.4 -255.4 -779.5 -250.5 -728.3 -213.0 -256.7 -233.8 -154.0 -210.1 -754.8 kJ/mol of formula units.